PBE Pm2GaSbO6, optimized geometry; formation energy (no corrections) = -2.30 eV per atom
1.0
-1.431 -2.316 4.507
-1.286 -4.499 -2.720
5.047 -1.840 0.657
Pm Ga Sb O
2 1 1 6
direct
0.003 0.500 0.000
0.003 0.000 0.500
0.583 0.000 0.000
0.627 0.500 0.500
0.740 0.233 0.233
0.740 0.233 0.767
0.038 0.500 0.500
0.230 0.000 0.000
0.740 0.767 0.767
0.740 0.767 0.233